Density functional theory data (PBE) for crystalline ScGeAs2Br at its relaxed geometry.

Cell: 4.9382 4.9382 5.1337 Å, 90.00 90.00 90.00°
Fractional positions:
Sc (0.0000, 0.0000, 0.0000)
Ge (0.5000, 0.5000, 0.5000)
As (0.0000, 0.5000, 0.5000)
As (0.5000, 0.0000, 0.5000)
Br (0.5000, 0.5000, 0.0000)

The uncorrected formation energy is 211.2 meV/atom. Its energy above the most stable polymorph in this dataset is 0.123 eV per atom. The value obtained for the total moment is 0.00 μB/atom. Its space-group type is P4/mmm, No. 123.

---

Density functional theory data (PBE) for crystalline VPt3Br at its relaxed geometry.

Cell: 4.7108 4.7108 4.7108 Å, 90.00 90.00 90.00°
Fractional positions:
V (0.0000, 0.0000, 0.0000)
Pt (0.0000, 0.0000, 0.5000)
Pt (0.0000, 0.5000, 0.0000)
Pt (0.5000, 0.0000, 0.0000)
Br (0.5000, 0.5000, 0.5000)

The uncorrected formation energy is 928.9 meV/atom. Its energy above the most stable polymorph in this dataset is 0.000 eV per atom. The value obtained for the total moment is 0.00 μB/atom. Its space-group type is Pm-3m, No. 221.